(1)
The following is a PBE calculation of a relaxed structure of Zr5GaB2, from the Alexandria database.

Cell lengths 7.900, 7.900, 7.900 Å; angles 130.27, 130.27, 72.98 degrees
Sites, in units of the cell vectors:
1 Zr 0.000 0.000 0.000
2 Zr 0.045 0.545 0.854
3 Zr 0.191 0.045 0.500
4 Zr 0.309 0.809 0.854
5 Zr 0.455 0.309 0.500
6 Zr 0.500 0.500 0.000
7 Zr 0.545 0.691 0.500
8 Zr 0.691 0.191 0.146
9 Zr 0.809 0.955 0.500
10 Zr 0.955 0.455 0.146
11 Ga 0.250 0.250 0.000
12 Ga 0.750 0.750 0.000
13 B 0.101 0.399 0.500
14 B 0.399 0.899 0.298
15 B 0.601 0.101 0.702
16 B 0.899 0.601 0.500

- ΔH_f (0 K) (meV per atom) = -417
- space-group type = No. 140
- N(E_F) (states/eV/f.u.) = 11.44
- crystal system = tetragonal

(2)
The following is a PBE calculation of a relaxed structure of TiAgAsSe2, from the Alexandria database.

Cell lengths 4.935, 4.935, 4.945 Å; angles 90.00, 90.00, 90.00 degrees
Sites, in units of the cell vectors:
1 Ti 0.000 0.000 0.000
2 Ag 0.500 0.500 0.500
3 As 0.000 0.000 0.500
4 Se 0.000 0.500 0.000
5 Se 0.500 0.000 0.000

- offset from the most stable computed form (meV/atom) = 0
- space-group type = No. 123
- N(E_F) (states/eV/f.u.) = 4.06
- crystal system = tetragonal
- uncorrected formation energy (eV per formula unit) = -0.18

(3)
The following is a PBE calculation of a relaxed structure of Ce5Th2Sc2, from the Alexandria database.

Cell lengths 6.221, 6.221, 8.823 Å; angles 103.36, 103.36, 50.08 degrees
Sites, in units of the cell vectors:
1 Ce 0.000 0.000 0.000
2 Ce 0.068 0.068 0.647
3 Ce 0.479 0.479 0.708
4 Ce 0.521 0.521 0.292
5 Ce 0.932 0.932 0.353
6 Th 0.230 0.230 0.331
7 Th 0.770 0.770 0.669
8 Sc 0.304 0.304 0.959
9 Sc 0.696 0.696 0.041

- ΔH_f (0 K) (meV per atom) = 117
- space-group type = No. 12
- N(E_F) (states/eV/f.u.) = 20.99
- crystal system = monoclinic